*one*
{"formula": "Bi3SeS3", "functional": "GGA-PBE", "state": "relaxed", "space_group": "P2_1/m, No. 11", "lattice_angstrom": [[9.086, 0.000, 0.000], [0.000, 3.930, 0.000], [-0.042, 0.000, 11.509]], "species": ["Bi", "Bi", "Bi", "Bi", "Bi", "Bi", "Se", "Se", "S", "S", "S", "S", "S", "S"], "frac_coords": [[0.115, 0.250, 0.137], [0.348, 0.750, 0.387], [0.359, 0.750, 0.855], [0.641, 0.250, 0.145], [0.652, 0.250, 0.613], [0.885, 0.750, 0.863], [0.376, 0.750, 0.125], [0.624, 0.250, 0.875], [0.128, 0.250, 0.872], [0.136, 0.250, 0.371], [0.415, 0.750, 0.625], [0.585, 0.250, 0.375], [0.864, 0.750, 0.629], [0.872, 0.750, 0.128]]}

*two*
{"formula": "Bi3SeS3", "functional": "GGA-PBE", "state": "relaxed", "space_group": "R-3, No. 148", "lattice_angstrom": [[4.159, 2.401, 6.718], [-4.159, 2.401, 6.718], [0.000, -4.802, 6.718]], "species": ["Bi", "Bi", "Bi", "Bi", "Bi", "Bi", "Se", "Se", "S", "S", "S", "S", "S", "S"], "frac_coords": [[0.027, 0.790, 0.424], [0.210, 0.576, 0.973], [0.424, 0.027, 0.790], [0.576, 0.973, 0.210], [0.790, 0.424, 0.027], [0.973, 0.210, 0.576], [0.169, 0.169, 0.169], [0.831, 0.831, 0.831], [0.109, 0.375, 0.686], [0.314, 0.891, 0.625], [0.375, 0.686, 0.109], [0.625, 0.314, 0.891], [0.686, 0.109, 0.375], [0.891, 0.625, 0.314]]}

Stability summary: most stable *one*, least stable *two*.

*one*
{"formula": "BiSe2S2", "functional": "GGA-PBE", "state": "relaxed", "space_group": "I4/mmm, No. 139", "lattice_angstrom": [[-2.703, 2.703, 4.035], [2.703, -2.703, 4.035], [2.703, 2.703, -4.035]], "species": ["Bi", "Se", "Se", "S", "S"], "frac_coords": [[0.000, 0.000, 0.000], [0.250, 0.750, 0.500], [0.750, 0.250, 0.500], [0.382, 0.382, 0.000], [0.618, 0.618, 0.000]]}

*two*
{"formula": "BiSe2S2", "functional": "GGA-PBE", "state": "relaxed", "space_group": "P4/mbm, No. 127", "lattice_angstrom": [[8.575, 0.000, 0.000], [0.000, 8.575, 0.000], [0.000, 0.000, 3.238]], "species": ["Bi", "Bi", "Se", "Se", "Se", "Se", "S", "S", "S", "S"], "frac_coords": [[0.000, 0.000, 0.000], [0.500, 0.500, 0.000], [0.113, 0.387, 0.500], [0.387, 0.887, 0.500], [0.613, 0.113, 0.500], [0.887, 0.613, 0.500], [0.239, 0.739, 0.000], [0.261, 0.239, 0.000], [0.739, 0.761, 0.000], [0.761, 0.261, 0.000]]}

Stability summary: most stable *two*, least stable *one*.

*one*
{"formula": "Si2BiS", "functional": "GGA-PBE", "state": "relaxed", "space_group": "Fm-3m, No. 225", "lattice_angstrom": [[0.000, 3.431, 3.431], [3.431, 0.000, 3.431], [3.431, 3.431, 0.000]], "species": ["Si", "Si", "Bi", "S"], "frac_coords": [[0.250, 0.250, 0.250], [0.750, 0.750, 0.750], [0.000, 0.000, 0.000], [0.500, 0.500, 0.500]]}

*two*
{"formula": "Si2BiS", "functional": "GGA-PBE", "state": "relaxed", "space_group": "I-42d, No. 122", "lattice_angstrom": [[-2.624, 2.624, 7.217], [2.624, -2.624, 7.217], [2.624, 2.624, -7.217]], "species": ["Si", "Si", "Si", "Si", "Bi", "Bi", "S", "S"], "frac_coords": [[0.037, 0.625, 0.912], [0.375, 0.287, 0.412], [0.713, 0.125, 0.088], [0.875, 0.963, 0.588], [0.250, 0.750, 0.500], [0.500, 0.500, 0.000], [0.000, 0.000, 0.000], [0.750, 0.250, 0.500]]}

Stability summary: most stable *two*, least stable *one*.

*one*
{"formula": "Si3BiS", "functional": "GGA-PBE", "state": "relaxed", "space_group": "Pm-3m, No. 221", "lattice_angstrom": [[5.424, 0.000, 0.000], [0.000, 5.424, 0.000], [0.000, 0.000, 5.424]], "species": ["Si", "Si", "Si", "Bi", "S"], "frac_coords": [[0.000, 0.000, 0.500], [0.000, 0.500, 0.000], [0.500, 0.000, 0.000], [0.000, 0.000, 0.000], [0.500, 0.500, 0.500]]}

*two*
{"formula": "Si3BiS", "functional": "GGA-PBE", "state": "relaxed", "space_group": "Pm-3m, No. 221", "lattice_angstrom": [[4.777, 0.000, 0.000], [0.000, 4.777, 0.000], [0.000, 0.000, 4.777]], "species": ["Si", "Si", "Si", "Bi", "S"], "frac_coords": [[0.000, 0.000, 0.500], [0.000, 0.500, 0.000], [0.500, 0.000, 0.000], [0.500, 0.500, 0.500], [0.000, 0.000, 0.000]]}

Stability summary: most stable *two*, least stable *one*.

*one*
{"formula": "SmBiS3", "functional": "GGA-PBE", "state": "relaxed", "space_group": "P2_1/c, No. 14", "lattice_angstrom": [[7.381, 0.000, 0.000], [0.000, 7.720, 0.000], [-4.462, 0.000, 9.488]], "species": ["Sm", "Sm", "Sm", "Sm", "Bi", "Bi", "Bi", "Bi", "S", "S", "S", "S", "S", "S", "S", "S", "S", "S", "S", "S"], "frac_coords": [[0.196, 0.130, 0.212], [0.196, 0.370, 0.712], [0.804, 0.630, 0.288], [0.804, 0.870, 0.788], [0.201, 0.639, 0.170], [0.201, 0.861, 0.670], [0.799, 0.139, 0.330], [0.799, 0.361, 0.830], [0.112, 0.138, 0.920], [0.112, 0.362, 0.420], [0.126, 0.622, 0.903], [0.126, 0.878, 0.403], [0.491, 0.622, 0.730], [0.491, 0.878, 0.230], [0.509, 0.122, 0.770], [0.509, 0.378, 0.270], [0.874, 0.122, 0.597], [0.874, 0.378, 0.097], [0.888, 0.638, 0.580], [0.888, 0.862, 0.080]]}

*two*
{"formula": "SmBiS3", "functional": "GGA-PBE", "state": "relaxed", "space_group": "Pnma, No. 62", "lattice_angstrom": [[11.046, 0.000, 0.000], [0.000, 4.059, 0.000], [0.000, 0.000, 10.924]], "species": ["Sm", "Sm", "Sm", "Sm", "Bi", "Bi", "Bi", "Bi", "S", "S", "S", "S", "S", "S", "S", "S", "S", "S", "S", "S"], "frac_coords": [[0.010, 0.250, 0.172], [0.490, 0.750, 0.672], [0.510, 0.250, 0.328], [0.990, 0.750, 0.828], [0.173, 0.250, 0.532], [0.327, 0.750, 0.032], [0.673, 0.250, 0.968], [0.827, 0.750, 0.468], [0.047, 0.750, 0.365], [0.115, 0.250, 0.939], [0.224, 0.750, 0.694], [0.276, 0.250, 0.194], [0.385, 0.750, 0.439], [0.453, 0.250, 0.865], [0.547, 0.750, 0.135], [0.615, 0.250, 0.561], [0.724, 0.750, 0.806], [0.776, 0.250, 0.306], [0.885, 0.750, 0.061], [0.953, 0.250, 0.635]]}

*three*
{"formula": "SmBiS3", "functional": "GGA-PBE", "state": "relaxed", "space_group": "Pmc2_1, No. 26", "lattice_angstrom": [[4.203, 0.000, 0.000], [0.000, 8.865, 0.000], [0.000, 0.000, 7.359]], "species": ["Sm", "Sm", "Bi", "Bi", "S", "S", "S", "S", "S", "S"], "frac_coords": [[0.000, 0.124, 0.000], [0.000, 0.876, 0.500], [0.500, 0.334, 0.545], [0.500, 0.666, 0.045], [0.000, 0.171, 0.629], [0.000, 0.829, 0.129], [0.500, 0.091, 0.277], [0.500, 0.347, 0.929], [0.500, 0.653, 0.429], [0.500, 0.909, 0.777]]}

Stability summary: most stable *two*, least stable *three*.

*one*
{"formula": "Sn3BiS", "functional": "GGA-PBE", "state": "relaxed", "space_group": "Pm-3m, No. 221", "lattice_angstrom": [[5.896, 0.000, 0.000], [0.000, 5.896, 0.000], [0.000, 0.000, 5.896]], "species": ["Sn", "Sn", "Sn", "Bi", "S"], "frac_coords": [[0.000, 0.000, 0.500], [0.000, 0.500, 0.000], [0.500, 0.000, 0.000], [0.000, 0.000, 0.000], [0.500, 0.500, 0.500]]}

*two*
{"formula": "Sn3BiS", "functional": "GGA-PBE", "state": "relaxed", "space_group": "Pm-3m, No. 221", "lattice_angstrom": [[5.381, 0.000, 0.000], [0.000, 5.381, 0.000], [0.000, 0.000, 5.381]], "species": ["Sn", "Sn", "Sn", "Bi", "S"], "frac_coords": [[0.000, 0.000, 0.500], [0.000, 0.500, 0.000], [0.500, 0.000, 0.000], [0.500, 0.500, 0.500], [0.000, 0.000, 0.000]]}

Stability summary: most stable *two*, least stable *one*.

*one*
{"formula": "SnBi2S", "functional": "GGA-PBE", "state": "relaxed", "space_group": "Fm-3m, No. 225", "lattice_angstrom": [[0.000, 3.744, 3.744], [3.744, 0.000, 3.744], [3.744, 3.744, 0.000]], "species": ["Sn", "Bi", "Bi", "S"], "frac_coords": [[0.000, 0.000, 0.000], [0.250, 0.250, 0.250], [0.750, 0.750, 0.750], [0.500, 0.500, 0.500]]}

*two*
{"formula": "SnBi2S", "functional": "GGA-PBE", "state": "relaxed", "space_group": "I-42d, No. 122", "lattice_angstrom": [[-3.182, 3.182, 7.532], [3.182, -3.182, 7.532], [3.182, 3.182, -7.532]], "species": ["Sn", "Sn", "Bi", "Bi", "Bi", "Bi", "S", "S"], "frac_coords": [[0.000, 0.000, 0.000], [0.750, 0.250, 0.500], [0.171, 0.625, 0.046], [0.375, 0.421, 0.546], [0.579, 0.125, 0.954], [0.875, 0.829, 0.454], [0.250, 0.750, 0.500], [0.500, 0.500, 0.000]]}

Stability summary: most stable *two*, least stable *one*.

*one*
{"formula": "SnBi3S", "functional": "GGA-PBE", "state": "relaxed", "space_group": "Pm-3m, No. 221", "lattice_angstrom": [[5.434, 0.000, 0.000], [0.000, 5.434, 0.000], [0.000, 0.000, 5.434]], "species": ["Sn", "Bi", "Bi", "Bi", "S"], "frac_coords": [[0.000, 0.000, 0.000], [0.000, 0.500, 0.500], [0.500, 0.000, 0.500], [0.500, 0.500, 0.000], [0.500, 0.500, 0.500]]}

*two*
{"formula": "SnBi3S", "functional": "GGA-PBE", "state": "relaxed", "space_group": "Pm-3m, No. 221", "lattice_angstrom": [[5.780, 0.000, 0.000], [0.000, 5.780, 0.000], [0.000, 0.000, 5.780]], "species": ["Sn", "Bi", "Bi", "Bi", "S"], "frac_coords": [[0.000, 0.000, 0.000], [0.000, 0.000, 0.500], [0.000, 0.500, 0.000], [0.500, 0.000, 0.000], [0.500, 0.500, 0.500]]}

Stability summary: most stable *one*, least stable *two*.

*one*
{"formula": "SrBi3S", "functional": "GGA-PBE", "state": "relaxed", "space_group": "Pm-3m, No. 221", "lattice_angstrom": [[5.513, 0.000, 0.000], [0.000, 5.513, 0.000], [0.000, 0.000, 5.513]], "species": ["Sr", "Bi", "Bi", "Bi", "S"], "frac_coords": [[0.000, 0.000, 0.000], [0.000, 0.500, 0.500], [0.500, 0.000, 0.500], [0.500, 0.500, 0.000], [0.500, 0.500, 0.500]]}

*two*
{"formula": "SrBi3S", "functional": "GGA-PBE", "state": "relaxed", "space_group": "Pm-3m, No. 221", "lattice_angstrom": [[6.133, 0.000, 0.000], [0.000, 6.133, 0.000], [0.000, 0.000, 6.133]], "species": ["Sr", "Bi", "Bi", "Bi", "S"], "frac_coords": [[0.000, 0.000, 0.000], [0.000, 0.000, 0.500], [0.000, 0.500, 0.000], [0.500, 0.000, 0.000], [0.500, 0.500, 0.500]]}

Stability summary: most stable *one*, least stable *two*.

*one*
{"formula": "SrBiS3", "functional": "GGA-PBE", "state": "relaxed", "space_group": "Pm-3m, No. 221", "lattice_angstrom": [[5.218, 0.000, 0.000], [0.000, 5.218, 0.000], [0.000, 0.000, 5.218]], "species": ["Sr", "Bi", "S", "S", "S"], "frac_coords": [[0.000, 0.000, 0.000], [0.500, 0.500, 0.500], [0.000, 0.500, 0.500], [0.500, 0.000, 0.500], [0.500, 0.500, 0.000]]}

*two*
{"formula": "SrBiS3", "functional": "GGA-PBE", "state": "relaxed", "space_group": "Pm-3m, No. 221", "lattice_angstrom": [[5.412, 0.000, 0.000], [0.000, 5.412, 0.000], [0.000, 0.000, 5.412]], "species": ["Sr", "Bi", "S", "S", "S"], "frac_coords": [[0.000, 0.000, 0.000], [0.500, 0.500, 0.500], [0.000, 0.000, 0.500], [0.000, 0.500, 0.000], [0.500, 0.000, 0.000]]}

Stability summary: most stable *one*, least stable *two*.

*one*
{"formula": "Ta3BiS", "functional": "GGA-PBE", "state": "relaxed", "space_group": "Pm-3m, No. 221", "lattice_angstrom": [[4.640, 0.000, 0.000], [0.000, 4.640, 0.000], [0.000, 0.000, 4.640]], "species": ["Ta", "Ta", "Ta", "Bi", "S"], "frac_coords": [[0.000, 0.000, 0.500], [0.000, 0.500, 0.000], [0.500, 0.000, 0.000], [0.500, 0.500, 0.500], [0.000, 0.000, 0.000]]}

*two*
{"formula": "Ta3BiS", "functional": "GGA-PBE", "state": "relaxed", "space_group": "Pm-3m, No. 221", "lattice_angstrom": [[5.174, 0.000, 0.000], [0.000, 5.174, 0.000], [0.000, 0.000, 5.174]], "species": ["Ta", "Ta", "Ta", "Bi", "S"], "frac_coords": [[0.000, 0.000, 0.500], [0.000, 0.500, 0.000], [0.500, 0.000, 0.000], [0.000, 0.000, 0.000], [0.500, 0.500, 0.500]]}

Stability summary: most stable *one*, least stable *two*.

*one*
{"formula": "Tc3BiS", "functional": "GGA-PBE", "state": "relaxed", "space_group": "Pm-3m, No. 221", "lattice_angstrom": [[4.999, 0.000, 0.000], [0.000, 4.999, 0.000], [0.000, 0.000, 4.999]], "species": ["Tc", "Tc", "Tc", "Bi", "S"], "frac_coords": [[0.000, 0.000, 0.500], [0.000, 0.500, 0.000], [0.500, 0.000, 0.000], [0.000, 0.000, 0.000], [0.500, 0.500, 0.500]]}

*two*
{"formula": "Tc3BiS", "functional": "GGA-PBE", "state": "relaxed", "space_group": "Pm-3m, No. 221", "lattice_angstrom": [[4.471, 0.000, 0.000], [0.000, 4.471, 0.000], [0.000, 0.000, 4.471]], "species": ["Tc", "Tc", "Tc", "Bi", "S"], "frac_coords": [[0.000, 0.000, 0.500], [0.000, 0.500, 0.000], [0.500, 0.000, 0.000], [0.500, 0.500, 0.500], [0.000, 0.000, 0.000]]}

Stability summary: most stable *two*, least stable *one*.